1.
A relaxed KBa2Bi6 crystal. Source: Alexandria via LeMat-Bulk, functional PBE.

Cell: 4.798 9.425 9.425 Å, 120.00 90.00 90.00°
Fractional coordinates of all 9 atoms:
Ba1 0.000 0.333 0.667
Ba2 0.000 0.667 0.333
Bi1 0.500 0.340 0.340
Bi2 0.500 0.000 0.340
Bi3 0.500 0.340 0.000
Bi4 0.500 0.000 0.660
Bi5 0.500 0.660 0.660
Bi6 0.500 0.660 0.000
K1 0.000 0.000 0.000

Properties
**Energy of formation**: -0.4619 eV/atom
**Space-group type**: P6/mmm, No. 191



2.
A relaxed KBaBi2 crystal. Source: Alexandria via LeMat-Bulk, functional PBE.

Cell: 5.171 5.369 5.369 Å, 90.00 90.00 90.00°
Fractional coordinates of all 4 atoms:
K1 0.500 0.500 0.500
Bi1 0.000 0.500 0.000
Bi2 0.000 0.000 0.500
Ba1 0.500 0.000 0.000

Properties
**Energy of formation**: -0.5649 eV/atom
**ΔE to the lowest computed polymorph**: 26 meV/atom
**Space-group type**: P4/mmm, No. 123



3.
A relaxed KBaBi4 crystal. Source: Alexandria via LeMat-Bulk, functional PBE.

Cell: 6.812 6.812 6.812 Å, 60.00 60.00 60.00°
Fractional coordinates of all 6 atoms:
Bi1 0.625 0.625 0.126
Bi2 0.126 0.625 0.625
Bi3 0.625 0.625 0.625
Bi4 0.625 0.126 0.625
K1 0.250 0.250 0.250
Ba1 0.000 0.000 0.000

Properties
**Energy of formation**: -0.4179 eV/atom
**Space-group type**: F-43m, No. 216



4.
A relaxed KBaLaBi2 crystal. Source: Alexandria via LeMat-Bulk, functional PBE.

Cell: 6.344 6.415 6.344 Å, 90.00 90.00 90.00°
Fractional coordinates of all 5 atoms:
Bi1 0.000 0.000 0.500
Bi2 0.500 0.000 0.000
Ba1 0.000 0.500 0.000
La1 0.000 0.000 0.000
K1 0.500 0.500 0.500

Properties
**Energy of formation**: -0.0301 eV/atom
**ΔE to the lowest computed polymorph**: 0 meV/atom
**Space-group type**: P4/mmm, No. 123



5.
A relaxed K2Ba2LiBi4 crystal. Source: Alexandria via LeMat-Bulk, functional PBE.

Cell: 7.627 7.627 7.627 Å, 93.53 117.98 117.98°
Fractional coordinates of all 9 atoms:
Bi1 0.000 0.251 0.749
Bi2 0.497 0.749 0.749
Bi3 0.503 0.251 0.251
Bi4 0.000 0.749 0.251
Li1 0.000 0.000 0.000
Ba1 0.500 0.750 0.250
Ba2 0.500 0.250 0.750
K1 0.000 0.284 0.284
K2 0.000 0.716 0.716

Properties
**Energy of formation**: -0.5197 eV/atom
**Space-group type**: I4/mmm, No. 139



6.
A relaxed KBaMg2Bi crystal. Source: Alexandria via LeMat-Bulk, functional PBE.

Cell: 5.846 6.306 5.846 Å, 90.00 90.00 90.00°
Fractional coordinates of all 5 atoms:
Ba1 0.500 0.500 0.500
Mg1 0.000 0.000 0.500
Mg2 0.500 0.000 0.000
K1 0.000 0.000 0.000
Bi1 0.000 0.500 0.000

Properties
**Energy of formation**: 0.3347 eV/atom
**Space-group type**: P4/mmm, No. 123



7.
A relaxed K2BaNa2Bi2 crystal. Source: Alexandria via LeMat-Bulk, functional PBE.

Cell: 5.611 5.611 10.501 Å, 74.50 74.50 60.00°
Fractional coordinates of all 7 atoms:
Ba1 0.000 0.000 0.000
Bi1 0.264 0.264 0.209
Bi2 0.736 0.736 0.791
K1 0.866 0.866 0.402
K2 0.134 0.134 0.598
Na1 0.605 0.605 0.186
Na2 0.395 0.395 0.814

Properties
**Energy of formation**: -0.5292 eV/atom
**Space-group type**: R-3m, No. 166



8.
A relaxed KBa2Na2Bi2 crystal. Source: Alexandria via LeMat-Bulk, functional PBE.

Cell: 5.578 5.578 11.029 Å, 75.35 75.35 60.00°
Site moments in Bohr magnetons follow the coordinates.
Fractional coordinates of all 7 atoms:
Na1 0.389 0.389 0.834  0.00
Na2 0.611 0.611 0.166  0.00
Ba1 0.873 0.873 0.382  0.09
Ba2 0.127 0.127 0.618  0.09
Bi1 0.257 0.257 0.230  -0.01
Bi2 0.743 0.743 0.770  -0.01
K1 0.000 0.000 0.000  0.00

Properties
**Energy of formation**: -0.5300 eV/atom
**Space-group type**: R-3m, No. 166



9.
A relaxed KBaNa2Bi crystal. Source: Alexandria via LeMat-Bulk, functional PBE.

Cell: 6.277 6.277 6.879 Å, 90.00 90.00 90.00°
Fractional coordinates of all 5 atoms:
Na1 0.000 0.500 0.000
Na2 0.500 0.000 0.000
Ba1 0.000 0.000 0.500
K1 0.500 0.500 0.500
Bi1 0.000 0.000 0.000

Properties
**Energy of formation**: -0.2143 eV/atom
**Space-group type**: P4/mmm, No. 123



10.
A relaxed K2Ba2BiO6 crystal. Source: Alexandria via LeMat-Bulk, functional PBE.

Cell: 6.610 6.610 6.740 Å, 97.77 97.77 119.00°
Site moments in Bohr magnetons follow the coordinates.
Fractional coordinates of all 11 atoms:
O1 0.038 0.322 0.681  0.18
O2 0.322 0.038 0.681  0.18
O3 0.962 0.678 0.319  0.18
O4 0.678 0.962 0.319  0.18
O5 0.788 0.788 0.691  0.09
O6 0.212 0.212 0.309  0.09
K1 0.852 0.148 0.000  0.00
K2 0.148 0.852 0.000  0.00
Ba1 0.340 0.660 0.500  0.00
Ba2 0.660 0.340 0.500  0.00
Bi1 0.000 0.000 0.500  -0.03

Properties
**Space-group type**: C2/m, No. 12
**Formation energy from raw total energies**: -1.60 eV per atom



11.
A relaxed K2BaBi3O9 crystal. Source: Alexandria via LeMat-Bulk, functional PBE.

Cell: 6.099 6.099 7.476 Å, 90.00 90.00 120.00°
Fractional coordinates of all 15 atoms:
O1 0.500 0.500 0.000
O2 0.839 0.678 0.677
O3 0.161 0.839 0.323
O4 0.678 0.839 0.323
O5 0.500 0.000 0.000
O6 0.161 0.322 0.323
O7 0.322 0.161 0.677
O8 0.839 0.161 0.677
O9 0.000 0.500 0.000
Ba1 0.000 0.000 0.000
Bi1 0.333 0.667 0.170
Bi2 0.667 0.333 0.830
Bi3 0.000 0.000 0.500
K1 0.667 0.333 0.331
K2 0.333 0.667 0.669

Properties
**Space-group type**: P-3m1, No. 164
**Formation energy from raw total energies**: -1.36 eV per atom



12.
A relaxed KBa4Bi3O12 crystal. Source: Alexandria via LeMat-Bulk, functional PBE.

Cell: 7.640 7.640 7.640 Å, 109.47 109.47 109.47°
Fractional coordinates of all 20 atoms:
O1 0.729 0.000 0.729
O2 0.000 0.729 0.729
O3 0.000 0.271 0.271
O4 0.250 0.500 0.750
O5 0.500 0.250 0.750
O6 0.750 0.500 0.250
O7 0.271 0.271 0.000
O8 0.250 0.750 0.500
O9 0.750 0.250 0.500
O10 0.500 0.750 0.250
O11 0.729 0.729 0.000
O12 0.271 0.000 0.271
Ba1 0.500 0.500 0.500
Ba2 0.000 0.000 0.500
Ba3 0.500 0.000 0.000
Ba4 0.000 0.500 0.000
Bi1 0.000 0.500 0.500
Bi2 0.500 0.000 0.500
Bi3 0.500 0.500 0.000
K1 0.000 0.000 0.000

Properties
**Space-group type**: Im-3m, No. 229
**Formation energy from raw total energies**: -1.72 eV per atom



13.
A relaxed KBa3Bi2O9 crystal. Source: Alexandria via LeMat-Bulk, functional PBE.

Cell: 6.128 6.128 8.520 Å, 90.00 90.00 120.00°
Site moments in Bohr magnetons follow the coordinates.
Fractional coordinates of all 15 atoms:
K1 0.000 0.000 0.500  0.00
Ba1 0.333 0.667 0.722  0.00
Ba2 0.000 0.000 0.000  0.00
Ba3 0.667 0.333 0.278  0.00
O1 0.166 0.332 0.283  0.14
O2 0.834 0.166 0.717  0.14
O3 0.834 0.668 0.717  0.14
O4 0.668 0.834 0.283  0.14
O5 0.500 0.000 0.000  0.03
O6 0.000 0.500 0.000  0.03
O7 0.332 0.166 0.717  0.14
O8 0.500 0.500 0.000  0.03
O9 0.166 0.834 0.283  0.14
Bi1 0.333 0.667 0.159  -0.01
Bi2 0.667 0.333 0.841  -0.01

Properties
**Space-group type**: P-3m1, No. 164
**Formation energy from raw total energies**: -1.61 eV per atom



14.
A relaxed KBa2Bi2O7 crystal. Source: Alexandria via LeMat-Bulk, functional PBE.

Cell: 11.561 11.561 11.561 Å, 158.23 158.23 30.97°
Fractional coordinates of all 12 atoms:
O1 0.807 0.807 0.000
O2 0.090 0.590 0.500
O3 0.000 0.000 0.000
O4 0.903 0.403 0.500
O5 0.590 0.090 0.500
O6 0.197 0.197 0.000
O7 0.403 0.903 0.500
K1 0.687 0.687 0.000
Ba1 0.311 0.311 0.000
Ba2 0.505 0.505 0.000
Bi1 0.902 0.902 0.000
Bi2 0.103 0.103 0.000

Properties
**Space-group type**: I4mm, No. 107
**Formation energy from raw total energies**: -1.71 eV per atom



15.
A relaxed KBa2Bi3O9 crystal. Source: Alexandria via LeMat-Bulk, functional PBE.

Cell: 6.181 6.181 7.576 Å, 90.00 90.00 120.00°
Fractional coordinates of all 15 atoms:
Bi1 0.333 0.667 0.163
Bi2 0.000 0.000 0.500
Bi3 0.667 0.333 0.837
K1 0.000 0.000 0.000
O1 0.171 0.829 0.345
O2 0.000 0.500 0.000
O3 0.829 0.171 0.655
O4 0.500 0.000 0.000
O5 0.657 0.829 0.345
O6 0.343 0.171 0.655
O7 0.171 0.343 0.345
O8 0.829 0.657 0.655
O9 0.500 0.500 0.000
Ba1 0.333 0.667 0.666
Ba2 0.667 0.333 0.334

Properties
**Space-group type**: P-3m1, No. 164
**Formation energy from raw total energies**: -1.60 eV per atom



16.
A relaxed KBa3Bi4O12 crystal. Source: Alexandria via LeMat-Bulk, functional PBE.

Cell: 6.177 6.224 8.732 Å, 90.00 90.00 90.00°
Fractional coordinates of all 20 atoms:
O1 0.757 0.739 0.728
O2 0.250 0.255 0.212
O3 0.243 0.739 0.272
O4 0.750 0.255 0.212
O5 0.250 0.255 0.788
O6 0.243 0.739 0.728
O7 0.757 0.739 0.272
O8 0.000 0.061 0.500
O9 0.750 0.255 0.788
O10 0.500 0.443 0.500
O11 0.000 0.951 0.000
O12 0.500 0.560 0.000
K1 0.500 0.992 0.500
Bi1 0.500 0.500 0.748
Bi2 0.000 0.002 0.748
Bi3 0.000 0.002 0.252
Bi4 0.500 0.500 0.252
Ba1 0.000 0.506 0.500
Ba2 0.500 0.005 0.000
Ba3 0.000 0.505 0.000

Properties
**Space-group type**: Pmm2, No. 25
**Formation energy from raw total energies**: -1.66 eV per atom



17.
A relaxed K2BaBiO4 crystal. Source: Alexandria via LeMat-Bulk, functional PBE.

Cell: 7.606 7.606 7.736 Å, 120.56 120.56 90.76°
Fractional coordinates of all 16 atoms:
O1 0.200 0.783 0.992
O2 0.717 0.300 0.508
O3 0.752 0.748 0.951
O4 0.248 0.252 0.049
O5 0.283 0.700 0.492
O6 0.752 0.748 0.549
O7 0.800 0.217 0.008
O8 0.248 0.252 0.451
K1 0.500 0.000 0.500
K2 0.500 0.000 0.000
K3 0.500 0.500 0.000
K4 0.000 0.000 0.500
Bi1 0.000 0.000 0.000
Bi2 0.500 0.500 0.500
Ba1 0.000 0.500 0.500
Ba2 0.000 0.500 0.000

Properties
**Space-group type**: Imma, No. 74
**Formation energy from raw total energies**: -1.55 eV per atom



18.
A relaxed KBaPrBiO6 crystal. Source: Alexandria via LeMat-Bulk, functional PBE.

Cell: 6.312 6.312 6.312 Å, 60.00 60.00 60.00°
Site moments in Bohr magnetons follow the coordinates.
Fractional coordinates of all 10 atoms:
O1 0.238 0.238 0.762  0.15
O2 0.762 0.762 0.238  0.15
O3 0.238 0.762 0.238  0.15
O4 0.762 0.238 0.762  0.15
O5 0.762 0.238 0.238  0.15
O6 0.238 0.762 0.762  0.15
Bi1 0.000 0.000 0.000  -0.03
Ba1 0.250 0.250 0.250  -0.01
Pr1 0.500 0.500 0.500  -0.02
K1 0.750 0.750 0.750  0.00

Properties
**Space-group type**: F-43m, No. 216
**Formation energy from raw total energies**: -1.90 eV per atom



19.
A relaxed KBaTbBiO6 crystal. Source: Alexandria via LeMat-Bulk, functional PBE.

Cell: 6.180 6.180 6.180 Å, 60.00 60.00 60.00°
Site moments in Bohr magnetons follow the coordinates.
Fractional coordinates of all 10 atoms:
O1 0.757 0.243 0.243  0.15
O2 0.757 0.243 0.757  0.15
O3 0.757 0.757 0.243  0.15
O4 0.243 0.243 0.757  0.15
O5 0.243 0.757 0.243  0.15
O6 0.243 0.757 0.757  0.15
K1 0.750 0.750 0.750  0.00
Ba1 0.250 0.250 0.250  -0.01
Tb1 0.500 0.500 0.500  -0.03
Bi1 0.000 0.000 0.000  -0.03

Properties
**Space-group type**: F-43m, No. 216
**Formation energy from raw total energies**: -1.98 eV per atom



20.
A relaxed K2Ba6Yb3Bi5O24 crystal. Source: Alexandria via LeMat-Bulk, functional PBE.

Cell: 12.991 12.991 6.150 Å, 90.00 90.00 140.99°
Site moments in Bohr magnetons follow the coordinates.
Fractional coordinates of all 40 atoms:
Yb1 0.627 0.373 0.500  0.61
Yb2 0.373 0.627 0.500  0.61
Yb3 0.000 0.000 0.000  0.65
Bi1 0.749 0.251 0.000  -0.01
Bi2 0.500 0.500 0.000  0.01
Bi3 0.875 0.125 0.500  0.00
Bi4 0.251 0.749 0.000  -0.01
Bi5 0.125 0.875 0.500  0.00
Ba1 0.748 0.748 0.500  0.00
Ba2 0.875 0.623 0.000  0.00
Ba3 0.125 0.377 0.000  0.00
Ba4 0.252 0.252 0.500  0.00
Ba5 0.377 0.125 0.000  0.00
Ba6 0.623 0.875 0.000  0.00
O1 0.439 0.561 0.753  0.08
O2 0.313 0.687 0.233  0.07
O3 0.500 0.000 0.000  0.01
O4 0.439 0.561 0.247  0.08
O5 0.184 0.816 0.769  0.01
O6 0.687 0.313 0.767  0.07
O7 0.634 0.880 0.500  0.06
O8 0.000 0.500 0.000  0.01
O9 0.561 0.439 0.247  0.08
O10 0.816 0.184 0.231  0.01
O11 0.561 0.439 0.753  0.08
O12 0.120 0.366 0.500  0.06
O13 0.745 0.745 0.000  0.08
O14 0.184 0.816 0.231  0.01
O15 0.366 0.120 0.500  0.06
O16 0.064 0.936 0.744  0.07
O17 0.687 0.313 0.233  0.07
O18 0.936 0.064 0.256  0.07
O19 0.936 0.064 0.744  0.07
O20 0.313 0.687 0.767  0.07
O21 0.064 0.936 0.256  0.07
O22 0.255 0.255 0.000  0.08
O23 0.880 0.634 0.500  0.06
O24 0.816 0.184 0.769  0.01
K1 0.500 0.000 0.500  0.00
K2 0.000 0.500 0.500  0.00

Properties
**Space-group type**: Cmmm, No. 65
**Formation energy from raw total energies**: -1.93 eV per atom



Number 1: raw total energy -3.598 eV/atom, ρ 7.05 g cm⁻³, total magnetic moment 0.00 μB/f.u.. Number 2: raw total energy -3.260 eV/atom, ρ 6.62 g cm⁻³, total magnetic moment 0.00 μB/f.u.. Number 3: raw total energy -3.509 eV/atom, ρ 7.52 g cm⁻³, total magnetic moment 0.00 μB/f.u.. Number 4: raw total energy -3.172 eV/atom, ρ 4.72 g cm⁻³, total magnetic moment 0.00 μB/f.u.. Number 5: raw total energy -3.128 eV/atom, ρ 6.15 g cm⁻³, total magnetic moment 0.00 μB/f.u.. Number 6: raw total energy -1.683 eV/atom, ρ 3.34 g cm⁻³, total magnetic moment 0.00 μB/f.u.. Number 7: raw total energy -2.603 eV/atom, ρ 4.14 g cm⁻³, total magnetic moment 0.00 μB/f.u.. Number 8: raw total energy -2.722 eV/atom, ρ 4.54 g cm⁻³, total magnetic moment 0.88 μB/f.u.. Number 9: raw total energy -2.122 eV/atom, ρ 2.64 g cm⁻³, total magnetic moment 0.00 μB/f.u.. Number 10: raw total energy -5.204 eV/atom, ρ 4.40 g cm⁻³, total magnetic moment 1.10 μB/f.u.. Number 11: raw total energy -5.384 eV/atom, ρ 6.80 g cm⁻³, total magnetic moment 0.00 μB/f.u.. Number 12: raw total energy -5.716 eV/atom, ρ 6.81 g cm⁻³, total magnetic moment 0.00 μB/f.u.. Number 13: raw total energy -5.561 eV/atom, ρ 6.07 g cm⁻³, total magnetic moment 1.09 μB/f.u.. Number 14: raw total energy -5.664 eV/atom, ρ 6.60 g cm⁻³, total magnetic moment 0.00 μB/f.u.. Number 15: raw total energy -5.680 eV/atom, ρ 7.18 g cm⁻³, total magnetic moment 0.00 μB/f.u.. Number 16: raw total energy -5.753 eV/atom, ρ 7.32 g cm⁻³, total magnetic moment 0.00 μB/f.u.. Number 17: raw total energy -5.028 eV/atom, ρ 5.26 g cm⁻³, total magnetic moment 0.00 μB/f.u.. Number 18: raw total energy -6.045 eV/atom, ρ 5.81 g cm⁻³, total magnetic moment 1.06 μB/f.u.. Number 19: raw total energy -6.112 eV/atom, ρ 6.37 g cm⁻³, total magnetic moment 1.03 μB/f.u.. Number 20: raw total energy -5.846 eV/atom, ρ 7.24 g cm⁻³, total magnetic moment 3.39 μB/f.u..